A relaxed structure of Sn2H2Au. Source: Alexandria, functional GGA-PBE.

POSCAR file:
```
Sn2H2Au
1.0
7.319 0.000 0.000
0.000 7.319 0.000
0.000 0.000 3.618
Sn H Au
4 4 2
direct
0.167 0.333 0.000
0.333 0.833 0.000
0.667 0.167 0.000
0.833 0.667 0.000
0.098 0.402 0.500
0.402 0.902 0.500
0.598 0.098 0.500
0.902 0.598 0.500
0.000 0.000 0.000
0.500 0.500 0.000
```

Properties
Total DFT energy (no corrections) = -33.7 eV for the cell shown
Energy above the most stable polymorph in this dataset = 50 meV/atom
SG = No. 127
Spin magnetization = 0.00 Bohr magnetons per cell

A relaxed structure of Sr2LiZnP2. Source: Alexandria, functional GGA-PBE.

POSCAR file:
```
Sr2LiZnP2
1.0
-3.047 6.916 3.115
3.047 -6.916 3.115
3.047 6.916 -3.115
Sr Li Zn P
4 2 2 4
direct
0.164 0.248 0.412
0.336 0.748 0.084
0.664 0.252 0.916
0.836 0.752 0.588
0.250 0.250 0.000
0.750 0.750 0.000
0.250 0.750 0.500
0.750 0.250 0.500
0.106 0.745 0.851
0.394 0.245 0.640
0.606 0.755 0.360
0.894 0.255 0.149
```

Properties
Total DFT energy (no corrections) = -43.7 eV for the cell shown
SG = No. 72
Spin magnetization = 0.00 Bohr magnetons per cell

A relaxed structure of Na2TlB. Source: Alexandria, functional GGA-PBE.

POSCAR file:
```
Na2TlB
1.0
0.000 3.507 3.507
3.507 0.000 3.507
3.507 3.507 0.000
Na Tl B
2 1 1
direct
0.250 0.250 0.250
0.750 0.750 0.750
0.000 0.000 0.000
0.500 0.500 0.500
```

Properties
Total DFT energy (no corrections) = -8.4 eV for the cell shown
Energy above the most stable polymorph in this dataset = 0 meV/atom
SG = No. 225
Spin magnetization = 0.00 Bohr magnetons per cell

A relaxed structure of Cs3NpIn2Br9. Source: Alexandria, functional GGA-PBE.

POSCAR file:
```
Cs3NpIn2Br9
1.0
8.494 0.000 0.000
-4.247 7.356 0.000
0.000 0.000 10.471
Cs Np In Br
3 1 2 9
direct
0.000 0.000 0.000
0.333 0.667 0.706
0.667 0.333 0.294
0.000 0.000 0.500
0.333 0.667 0.159
0.667 0.333 0.841
0.000 0.500 0.000
0.155 0.310 0.344
0.155 0.845 0.344
0.310 0.155 0.656
0.500 0.000 0.000
0.500 0.500 0.000
0.690 0.845 0.344
0.845 0.155 0.656
0.845 0.690 0.656
```

Properties
Total DFT energy (no corrections) = -56.1 eV for the cell shown
SG = No. 164
Spin magnetization = 3.40 Bohr magnetons per cell
Formation energy from raw total energies = -1.340 eV/atom

A relaxed structure of Pm3Tm4Al. Source: Alexandria, functional GGA-PBE.

POSCAR file:
```
Pm3Tm4Al
1.0
3.545 0.000 0.000
0.000 3.545 0.000
0.000 0.000 19.006
Pm Tm Al
3 4 1
direct
0.000 0.000 0.000
0.000 0.000 0.268
0.000 0.000 0.732
0.500 0.500 0.134
0.500 0.500 0.403
0.500 0.500 0.597
0.500 0.500 0.866
0.000 0.000 0.500
```

Properties
Total DFT energy (no corrections) = -36.6 eV for the cell shown
SG = No. 123
Spin magnetization = 0.00 Bohr magnetons per cell

A relaxed structure of RbAs2Rh2. Source: Alexandria, functional GGA-PBE.

POSCAR file:
```
RbAs2Rh2
1.0
4.075 0.000 0.000
0.000 4.075 0.000
0.000 0.000 6.706
Rb As Rh
1 2 2
direct
0.000 0.000 0.000
0.500 0.500 0.284
0.500 0.500 0.716
0.000 0.500 0.500
0.500 0.000 0.500
```

Properties
Total DFT energy (no corrections) = -26.7 eV for the cell shown
SG = No. 123
Spin magnetization = 0.00 Bohr magnetons per cell

A relaxed structure of TbCu2Pt2. Source: Alexandria, functional GGA-PBE.

POSCAR file:
```
TbCu2Pt2
1.0
-1.968 1.968 11.344
1.968 -1.968 11.344
1.968 1.968 -11.344
Tb Cu Pt
2 4 4
direct
0.128 0.128 0.000
0.872 0.872 0.000
0.000 0.500 0.500
0.322 0.322 0.000
0.500 0.000 0.500
0.678 0.678 0.000
0.250 0.750 0.500
0.428 0.428 0.000
0.572 0.572 0.000
0.750 0.250 0.500
```

Properties
Total DFT energy (no corrections) = -55.5 eV for the cell shown
SG = No. 139
Spin magnetization = 0.00 Bohr magnetons per cell

A relaxed structure of CsMgMn2Nb. Source: Alexandria, functional GGA-PBE.

POSCAR file:
```
CsMgMn2Nb
1.0
5.264 0.000 0.000
0.000 5.264 0.000
0.000 0.000 6.101
Cs Mg Mn Nb
1 1 2 1
direct
0.000 0.000 0.000
0.000 0.000 0.500
0.000 0.500 0.500
0.500 0.000 0.500
0.500 0.500 0.000
```

Properties
Total DFT energy (no corrections) = -20.7 eV for the cell shown
SG = No. 123
Spin magnetization = 12.98 Bohr magnetons per cell

spin magnetization of number 1 (Sn2H2Au)?
0.00 Bohr magnetons per cell

What is the spin magnetization in the first record?
0.00 Bohr magnetons per cell